Here is a geometry-optimized Pm3Re3B8 structure from Alexandria via LeMat-Bulk. Energies are from PBE.

Summary:
As for the calculated volume: 13.57 A^3/atom. Its density of states at the Fermi level is 0.399 states/eV per atom. As for the raw total energy: -7.585 eV/atom. For the energy of formation from the pure elements, the calculation gives -0.08 eV/atom.

Cell lengths 8.1085, 8.1085, 8.1085 Å; angles 157.63, 108.95, 75.55 degrees
Closest atoms and distances in Å follow each position.
Sites, in units of the cell vectors:
Pm: 0.0000 0.0000 0.0000  12 B 2.78-2.99, 4 Re 3.11
Pm: 0.2789 0.2789 0.0000  12 B 2.84-3.17, 2 Pm 3.15
Pm: 0.7211 0.7211 0.0000  12 B 2.84-3.17, 2 Pm 3.15
Re: 0.2849 0.5000 0.7849  6 B 2.16-2.33
Re: 0.5000 0.0000 0.5000  4 Re 2.57
Re: 0.7151 0.5000 0.2151  6 B 2.16-2.33
B: 0.0291 0.3507 0.6784  2 B 1.69
B: 0.1074 0.8706 0.2368  2 B 1.69
B: 0.3276 0.6493 0.6784  2 B 1.69
B: 0.3661 0.1294 0.2368  2 B 1.69
B: 0.6339 0.8706 0.7632  2 B 1.69
B: 0.6724 0.3507 0.3216  2 B 1.69
B: 0.8926 0.1294 0.7632  2 B 1.69
B: 0.9709 0.6493 0.3216  2 B 1.69